Entry 1:
Ca2Ga2Hg | PBE | relaxed

Cell: 3.8071 3.8071 18.2272 Å, 90.00 90.00 90.00°
Last column: nearest neighbours and their distance in Å.
Space group I4/mmm (No. 139)
Symmetry-distinct sites (fractional):
Ca1 0.0000 0.0000 0.1036  4 Ga 3.28, 4 Hg 3.29
Ga1 0.0000 0.5000 0.2500  4 Ga 2.69
Hg1 0.0000 0.0000 0.5000  8 Ca 3.29

Properties
formation energy from the elements: -0.303 eV/atom
energy: -2.37 eV/atom



Entry 2:
Ca3GaHg2 | PBE | relaxed

Cell: 5.2539 15.7637 7.6955 Å, 90.00 90.00 90.00°
Last column: nearest neighbours and their distance in Å.
Space group Cmmm (No. 65)
Symmetry-distinct sites (fractional):
Ca1 0.0000 0.0000 0.2469  6 Hg 3.24-3.27, 2 Ga 3.28
Ca2 0.0000 0.3326 0.2461  3 Ga 3.19-3.24, 5 Hg 3.25-3.28
Ga1 0.0000 0.1697 0.0000  8 Ca 3.19-3.28
Hg1 0.0000 0.1667 0.5000  8 Ca 3.26-3.27
Hg2 0.0000 0.5000 0.0000  8 Ca 3.24-3.25
Hg3 0.0000 0.5000 0.5000  8 Ca 3.27-3.28

Properties
formation energy from the elements: -0.514 eV/atom
energy: -2.12 eV/atom